one) A plane-wave DFT calculation with GGA-PBE was carried out for a geometry-optimized Be2OsBr structure.

Output
As for the total magnetization: 0.00 μB per cell.

```
Be2OsBr
1.0
3.0468 0.0000 0.0000
0.0000 3.1011 0.0076
0.0000 1.7915 5.8340
Br Be Os
1 2 1
direct
0.5000 0.2500 0.2500
0.0000 0.1536 0.9266
0.0000 0.3464 0.5734
0.5000 0.7500 0.7500
```

two) A plane-wave DFT calculation with GGA-PBE was carried out for a geometry-optimized Be2OsBr structure.

Output
As for the total magnetization: 0.00 μB per cell.

```
Be2OsBr
1.0
4.2307 -0.0099 -0.0056
3.0250 2.9577 -0.0056
-0.0845 -0.0343 4.8534
Os Be Br
1 2 1
direct
0.2500 0.2500 0.2500
0.9503 0.9503 0.1397
0.5497 0.5497 0.3603
0.7500 0.7500 0.7500
```

one) is the most stable structure; the next one sits 350 meV per atom above it.

one) A plane-wave DFT calculation with GGA-PBE was carried out for a geometry-optimized Be2OsBr structure.

Output
As for the total magnetization: 0.00 μB per cell.

```
Be2OsBr
1.0
-0.0322 2.3200 3.1254
2.1031 0.1433 3.2723
4.0234 3.8154 -1.9455
Br Be Os
1 2 1
direct
0.6081 0.6081 0.5069
0.9643 0.9643 0.9987
0.6885 0.6885 0.8621
0.2390 0.2390 0.1323
```

two) A plane-wave DFT calculation with GGA-PBE was carried out for a geometry-optimized Be2OsBr structure.

Output
As for the total magnetization: 0.00 μB per cell.

```
Be2OsBr
1.0
-1.7621 2.0780 1.1445
1.1691 -1.8398 1.9953
5.6328 4.3733 0.7321
Be Br Os
2 1 1
direct
0.0000 0.0000 0.5280
0.0000 0.0000 0.9720
0.5000 0.5000 0.2500
0.5000 0.5000 0.7500
```

one) is the most stable structure; the next one sits 190 meV per atom above it.

one) A plane-wave DFT calculation with GGA-PBE was carried out for a geometry-optimized Be2OsBr structure.

Output
As for the total magnetization: 0.00 μB per cell.

```
Be2OsBr
1.0
-0.4553 4.0664 1.0017
-3.2802 1.2397 2.3344
0.6014 1.2712 3.9709
Br Os Be
1 1 2
direct
0.5000 0.5000 0.5000
0.7500 0.7500 0.7500
0.2500 0.2500 0.2500
0.0000 0.0000 0.0000
```

two) A plane-wave DFT calculation with GGA-PBE was carried out for a geometry-optimized Be2OsBr structure.

Output
As for the total magnetization: 0.00 μB per cell.

```
Be2OsBr
1.0
3.2987 0.0000 0.0000
0.0000 2.9907 -0.0094
0.0000 -1.3982 6.9405
Br Be Os
1 2 1
direct
0.0000 0.3844 0.4100
0.5000 0.2815 0.1927
0.0000 0.1780 0.9715
0.5000 0.6561 0.9258
```

two) is the most stable structure; the next one sits 828 meV per atom above it.